(1)
# Sm8Si3NiI4 PBE optimized geometry
data_Sm8Si3NiI4
_chemical_formula_sum 'Sm24 Si9 Ni3 I12'
_symmetry_space_group_name_H-M 'R -3 m'
_symmetry_Int_Tables_number 166
_symmetry_space_group_name_Hall '-R 3 2"'
_cell_length_a 8.5138
_cell_length_b 8.5138
_cell_length_c 22.8556
_cell_angle_alpha 90.00
_cell_angle_beta 90.00
_cell_angle_gamma 120.00
loop_
_atom_site_label
_atom_site_fract_x
_atom_site_fract_y
_atom_site_fract_z
Sm1 0.0000 0.0000 0.2327
Sm2 0.0118 0.5059 0.2307
Si1 0.0000 0.5000 0.5000
Ni1 0.0000 0.0000 0.5000
I1 0.0000 0.0000 0.0000
I2 0.0000 0.5000 0.0000
# ΔE_f (raw) (meV/atom): -835
# Spin magnetization (μB per formula unit): 0.00

=====

(2)
# Cs2AcBe2S4 PBE optimized geometry
data_Cs2AcBe2S4
_chemical_formula_sum 'Cs4 Ac2 Be4 S8'
_symmetry_space_group_name_H-M 'C 1 2/m 1'
_symmetry_Int_Tables_number 12
_cell_length_a 15.6986
_cell_length_b 3.8784
_cell_length_c 8.8037
_cell_angle_alpha 90.00
_cell_angle_beta 114.49
_cell_angle_gamma 90.00
loop_
_symmetry_equiv_pos_as_xyz
'x,y,z'
'-x,-y,-z'
'-x,y,-z'
'x,-y,z'
'x+1/2,y+1/2,z'
'-x+1/2,-y+1/2,-z'
'-x+1/2,y+1/2,-z'
'x+1/2,-y+1/2,z'
loop_
_atom_site_label
_atom_site_fract_x
_atom_site_fract_y
_atom_site_fract_z
Cs1 0.1329 0.0000 0.0573
Ac1 0.0000 0.0000 0.5000
Be1 0.1746 0.5000 0.4620
S1 0.0407 0.5000 0.2718
S2 0.2094 0.0000 0.6127
# ΔE_f (raw) (meV/atom): -1182
# Spin magnetization (μB per formula unit): 0.47

=====

(3)
# Ac2Al3Ag5 PBE optimized geometry
data_Ac2Al3Ag5
_chemical_formula_sum 'Ac2 Al3 Ag5'
_symmetry_space_group_name_H-M 'P -4 m 2'
_symmetry_Int_Tables_number 115
_cell_length_a 4.5393
_cell_length_b 4.5393
_cell_length_c 11.3186
_cell_angle_alpha 90.00
_cell_angle_beta 90.00
_cell_angle_gamma 90.00
loop_
_symmetry_equiv_pos_as_xyz
'x,y,z'
'y,-x,-z'
'-x,-y,z'
'-y,x,-z'
'-x,y,z'
'-y,-x,-z'
'x,-y,z'
'y,x,-z'
loop_
_atom_site_label
_atom_site_fract_x
_atom_site_fract_y
_atom_site_fract_z
Ac1 0.0000 0.5000 0.2448
Al1 0.0000 0.0000 0.0000
Al2 0.0000 0.5000 0.8738
Ag1 0.0000 0.0000 0.5000
Ag2 0.0000 0.5000 0.6472
Ag3 0.5000 0.5000 0.0000
Ag4 0.5000 0.5000 0.5000
# Relative energy among the computed polymorphs (meV/atom): 23
# Spin magnetization (μB per formula unit): 0.00
# E_form (eV per atom): -0.26

=====

(4)
# Fe2PbBr PBE optimized geometry
data_Fe2PbBr
_chemical_formula_sum 'Fe4 Pb2 Br2'
_symmetry_space_group_name_H-M 'C 1 2/m 1'
_symmetry_Int_Tables_number 12
_cell_length_a 6.0970
_cell_length_b 9.1047
_cell_length_c 3.3578
_cell_angle_alpha 90.00
_cell_angle_beta 120.07
_cell_angle_gamma 90.00
loop_
_symmetry_equiv_pos_as_xyz
'x,y,z'
'-x,-y,-z'
'-x,y,-z'
'x,-y,z'
'x+1/2,y+1/2,z'
'-x+1/2,-y+1/2,-z'
'-x+1/2,y+1/2,-z'
'x+1/2,-y+1/2,z'
loop_
_atom_site_label
_atom_site_fract_x
_atom_site_fract_y
_atom_site_fract_z
Fe1 0.2500 0.2500 0.0000
Pb1 0.0000 0.0000 0.5000
Br1 0.0000 0.5000 0.5000
# Relative energy among the computed polymorphs (meV/atom): 577
# ΔE_f (raw) (meV/atom): 772
# Spin magnetization (μB per formula unit): 5.74

=====

(5)
# CaB7 PBE optimized geometry
data_CaB7
_chemical_formula_sum 'Ca2 B14'
_symmetry_space_group_name_H-M 'C 1 2/m 1'
_symmetry_Int_Tables_number 12
_cell_length_a 6.6008
_cell_length_b 4.8520
_cell_length_c 4.8303
_cell_angle_alpha 90.00
_cell_angle_beta 107.39
_cell_angle_gamma 90.00
loop_
_symmetry_equiv_pos_as_xyz
'x,y,z'
'-x,-y,-z'
'-x,y,-z'
'x,-y,z'
'x+1/2,y+1/2,z'
'-x+1/2,-y+1/2,-z'
'-x+1/2,y+1/2,-z'
'x+1/2,-y+1/2,z'
loop_
_atom_site_label
_atom_site_fract_x
_atom_site_fract_y
_atom_site_fract_z
Ca1 0.0000 0.0000 0.0000
B1 0.0000 0.5000 0.0000
B2 0.1430 0.3142 0.5736
B3 0.2106 0.5000 0.2952
# Spin magnetization (μB per formula unit): 0.00
# E_form (eV per atom): 0.25

=====

(6)
# Cs2ScBiS4 PBE optimized geometry
data_Cs2ScBiS4
_chemical_formula_sum 'Cs16 Sc8 Bi8 S32'
_symmetry_space_group_name_H-M 'F d d d'
_symmetry_Int_Tables_number 70
_cell_length_a 6.8470
_cell_length_b 15.0782
_cell_length_c 24.5233
_cell_angle_alpha 90.00
_cell_angle_beta 90.00
_cell_angle_gamma 90.00
loop_
_symmetry_equiv_pos_as_xyz
'x,y,z'
'-x,-y,-z'
'-x+1/4,-y+1/4,z'
'x+1/4,y+1/4,-z'
'x,-y+1/4,-z+1/4'
'-x,y+1/4,z+1/4'
'-x+1/4,y,-z+1/4'
'x+1/4,-y,z+1/4'
'x,y+1/2,z+1/2'
'-x,-y+1/2,-z+1/2'
'-x+1/4,-y+3/4,z+1/2'
'x+1/4,y+3/4,-z+1/2'
'x,-y+3/4,-z+3/4'
'-x,y+3/4,z+3/4'
'-x+1/4,y+1/2,-z+3/4'
'x+1/4,-y+1/2,z+3/4'
'x+1/2,y,z+1/2'
'-x+1/2,-y,-z+1/2'
'-x+3/4,-y+1/4,z+1/2'
'x+3/4,y+1/4,-z+1/2'
'x+1/2,-y+1/4,-z+3/4'
'-x+1/2,y+1/4,z+3/4'
'-x+3/4,y,-z+3/4'
'x+3/4,-y,z+3/4'
'x+1/2,y+1/2,z'
'-x+1/2,-y+1/2,-z'
'-x+3/4,-y+3/4,z'
'x+3/4,y+3/4,-z'
'x+1/2,-y+3/4,-z+1/4'
'-x+1/2,y+3/4,z+1/4'
'-x+3/4,y+1/2,-z+1/4'
'x+3/4,-y+1/2,z+1/4'
loop_
_atom_site_label
_atom_site_fract_x
_atom_site_fract_y
_atom_site_fract_z
Cs1 0.1250 0.1250 0.3051
Sc1 0.1250 0.1250 0.1250
Bi1 0.1250 0.1250 0.6250
S1 0.0954 0.2807 0.4275
# ΔE_f (raw) (meV/atom): -1139
# Spin magnetization (μB per formula unit): 0.00

=====

(7)
# CuTc2Mo PBE optimized geometry
data_CuTc2Mo
_chemical_formula_sum 'Cu2 Tc4 Mo2'
_symmetry_space_group_name_H-M 'C 1 2/m 1'
_symmetry_Int_Tables_number 12
_cell_length_a 5.3966
_cell_length_b 8.9004
_cell_length_c 2.6422
_cell_angle_alpha 90.00
_cell_angle_beta 114.28
_cell_angle_gamma 90.00
loop_
_symmetry_equiv_pos_as_xyz
'x,y,z'
'-x,-y,-z'
'-x,y,-z'
'x,-y,z'
'x+1/2,y+1/2,z'
'-x+1/2,-y+1/2,-z'
'-x+1/2,y+1/2,-z'
'x+1/2,-y+1/2,z'
loop_
_atom_site_label
_atom_site_fract_x
_atom_site_fract_y
_atom_site_fract_z
Cu1 0.0000 0.0000 0.0000
Tc1 0.2500 0.2500 0.5000
Mo1 0.0000 0.5000 0.0000
# Relative energy among the computed polymorphs (meV/atom): 94
# Spin magnetization (μB per formula unit): 0.00
# E_form (eV per atom): 0.24

=====

(8)
# CrFe3Ir4 PBE optimized geometry
data_CrFe3Ir4
_chemical_formula_sum 'Cr2 Fe6 Ir8'
_symmetry_space_group_name_H-M 'I 4/m m m'
_symmetry_Int_Tables_number 139
_symmetry_space_group_name_Hall '-I 4 2'
_cell_length_a 3.7986
_cell_length_b 3.7986
_cell_length_c 14.6475
_cell_angle_alpha 90.00
_cell_angle_beta 90.00
_cell_angle_gamma 90.00
loop_
_atom_site_label
_atom_site_fract_x
_atom_site_fract_y
_atom_site_fract_z
Cr1 0.0000 0.0000 0.0000
Fe1 0.0000 0.0000 0.2519
Fe2 0.0000 0.0000 0.5000
Ir1 0.0000 0.5000 0.1222
# Spin magnetization (μB per formula unit): 5.58
# E_form (eV per atom): -0.12

=====

(9)
# NbTl3F8 PBE optimized geometry
data_NbTl3F8
_chemical_formula_sum 'Nb1 Tl3 F8'
_symmetry_space_group_name_H-M 'P m -3 m'
_symmetry_Int_Tables_number 221
_symmetry_space_group_name_Hall '-P 4 2 3'
_cell_length_a 6.0779
_cell_length_b 6.0779
_cell_length_c 6.0779
_cell_angle_alpha 90.00
_cell_angle_beta 90.00
_cell_angle_gamma 90.00
loop_
_atom_site_label
_atom_site_fract_x
_atom_site_fract_y
_atom_site_fract_z
Nb1 0.0000 0.0000 0.0000
Tl1 0.0000 0.5000 0.5000
F1 0.1974 0.1974 0.1974
# ΔE_f (raw) (meV/atom): -2378
# Spin magnetization (μB per formula unit): 0.00

=====

(10)
# TbBe4Ru PBE optimized geometry
data_TbBe4Ru
_chemical_formula_sum 'Tb4 Be16 Ru4'
_symmetry_space_group_name_H-M 'F -4 3 m'
_symmetry_Int_Tables_number 216
_symmetry_space_group_name_Hall 'F -4 2 3'
_cell_length_a 6.6340
_cell_length_b 6.6340
_cell_length_c 6.6340
_cell_angle_alpha 90.00
_cell_angle_beta 90.00
_cell_angle_gamma 90.00
loop_
_atom_site_label
_atom_site_fract_x
_atom_site_fract_y
_atom_site_fract_z
Tb1 0.0000 0.0000 0.0000
Be1 0.1214 0.1214 0.3786
Ru1 0.2500 0.2500 0.7500
# Spin magnetization (μB per formula unit): 0.00
# E_form (eV per atom): -0.16

=====

(11)
# RbRuO2 PBE optimized geometry
data_RbRuO2
_chemical_formula_sum 'Rb4 Ru4 O8'
_symmetry_space_group_name_H-M 'F m -3 m'
_symmetry_Int_Tables_number 225
_symmetry_space_group_name_Hall '-F 4 2 3'
_cell_length_a 5.9646
_cell_length_b 5.9646
_cell_length_c 5.9646
_cell_angle_alpha 90.00
_cell_angle_beta 90.00
_cell_angle_gamma 90.00
loop_
_atom_site_label
_atom_site_fract_x
_atom_site_fract_y
_atom_site_fract_z
Rb1 0.0000 0.0000 0.0000
Ru1 0.0000 0.0000 0.5000
O1 0.2500 0.2500 0.2500
# ΔE_f (raw) (meV/atom): 419
# Spin magnetization (μB per formula unit): 0.34

=====

(12)
# YAlTc2 PBE optimized geometry
data_YAlTc2
_chemical_formula_sum 'Y1 Al1 Tc2'
_symmetry_space_group_name_H-M 'P m m m'
_symmetry_Int_Tables_number 47
_cell_length_a 3.4636
_cell_length_b 4.3477
_cell_length_c 4.6329
_cell_angle_alpha 90.00
_cell_angle_beta 90.00
_cell_angle_gamma 90.00
loop_
_symmetry_equiv_pos_as_xyz
'x,y,z'
'-x,-y,-z'
'-x,-y,z'
'x,y,-z'
'x,-y,-z'
'-x,y,z'
'-x,y,-z'
'x,-y,z'
loop_
_atom_site_label
_atom_site_fract_x
_atom_site_fract_y
_atom_site_fract_z
Y1 0.0000 0.0000 0.0000
Al1 0.5000 0.0000 0.5000
Tc1 0.0000 0.5000 0.5000
Tc2 0.5000 0.5000 0.0000
# Spin magnetization (μB per formula unit): 0.00
# E_form (eV per atom): 0.11